Entry 1:
This record from the Alexandria database describes crystalline NdY2Pb at its relaxed geometry. The functional is PBE.

The energy above the lowest structure with this stoichiometry comes out at 201 meV per atom. The formation energy comes out at -117 meV per atom. As for the crystal system: cubic. The calculation puts the total energy at -5.468 eV/atom. For the size of the total moment, the calculation gives 0.41 μB per atom.

It has space group Fm-3m (No. 225), with a = 7.825 Å, b = 7.825 Å, c = 7.825 Å, α = 90.00°, β = 90.00° and γ = 90.00°. The inequivalent atoms are Nd at (0.000, 0.000, 0.000), Y at (0.250, 0.250, 0.250) and Pb at (0.000, 0.000, 0.500).

***

Entry 2:
This record from the Alexandria database describes crystalline Nd2YPb3 at its relaxed geometry. The functional is PBE.

The energy above the lowest structure with this stoichiometry comes out at 15 meV per atom. The formation energy comes out at -485 meV per atom. As for the crystal system: monoclinic. The calculation puts the total energy at -5.006 eV/atom. For the size of the total moment, the calculation gives 0.00 μB per atom.

It has space group C2/c (No. 15), with a = 9.542 Å, b = 14.647 Å, c = 5.933 Å, α = 90.00°, β = 116.00° and γ = 90.00°. The inequivalent atoms are Nd at (0.000, 0.082, 0.250), Nd at (0.000, 0.248, 0.750), Y at (0.000, 0.416, 0.250), Pb at (0.244, 0.419, 0.006) and Pb at (0.250, 0.250, 0.500).

***

Entry 3:
This record from the Alexandria database describes crystalline NdYPb2 at its relaxed geometry. The functional is PBE.

The formation energy comes out at -489 meV per atom. As for the crystal system: tetragonal. The calculation puts the total energy at -5.151 eV/atom. For the size of the total moment, the calculation gives 0.00 μB per atom.

It has space group P4/mmm (No. 123), with a = 3.590 Å, b = 3.590 Å, c = 9.083 Å, α = 90.00°, β = 90.00° and γ = 90.00°. The inequivalent atoms are Nd at (0.000, 0.000, 0.000), Y at (0.000, 0.000, 0.500) and Pb at (0.500, 0.500, 0.257).

***

Entry 4:
This record from the Alexandria database describes crystalline NdYPb at its relaxed geometry. The functional is PBE.

The formation energy comes out at -459 meV per atom. As for the crystal system: monoclinic. The calculation puts the total energy at -5.439 eV/atom. For the size of the total moment, the calculation gives 0.00 μB per atom.

It has space group C2/m (No. 12), with a = 6.589 Å, b = 6.589 Å, c = 8.775 Å, α = 90.00°, β = 90.04° and γ = 90.00°. The inequivalent atoms are Nd at (0.249, 0.000, 0.154), Y at (0.000, 0.250, 0.500) and Pb at (0.249, 0.500, 0.225).

***

Entry 5:
This record from the Alexandria database describes crystalline Nd2YPb3 at its relaxed geometry. The functional is PBE.

The energy above the lowest structure with this stoichiometry comes out at 0 meV per atom. The formation energy comes out at -500 meV per atom. As for the crystal system: monoclinic. The calculation puts the total energy at -5.021 eV/atom. For the size of the total moment, the calculation gives 0.00 μB per atom.

It has space group P2/m (No. 10), with a = 5.032 Å, b = 9.149 Å, c = 8.075 Å, α = 90.00°, β = 107.68° and γ = 90.00°. The inequivalent atoms are Nd at (0.000, 0.000, 0.000), Nd at (0.000, 0.500, 0.000), Nd at (0.333, 0.000, 0.667), Y at (0.332, 0.500, 0.664), Pb at (0.168, 0.255, 0.336) and Pb at (0.500, 0.254, 0.000).

***

Entry 6:
This record from the Alexandria database describes crystalline Nd8Y6Pb at its relaxed geometry. The functional is PBE.

The formation energy comes out at 57 meV per atom. As for the crystal system: trigonal. The calculation puts the total energy at -5.319 eV/atom. For the size of the total moment, the calculation gives 0.00 μB per atom.

It has space group P-3 (No. 147), with a = 9.3874 Å, b = 9.3874 Å, c = 6.6540 Å, α = 90.00°, β = 90.00° and γ = 120.00°. The inequivalent atoms are Nd at (0.0417, 0.2732, 0.3247), Nd at (0.3333, 0.6667, 0.3563), Y at (0.0974, 0.4448, 0.8387) and Pb at (0.0000, 0.0000, 0.0000).

***

Entry 7:
This record from the Alexandria database describes crystalline NdYPb2 at its relaxed geometry. The functional is PBE.

The formation energy comes out at -537 meV per atom. As for the crystal system: monoclinic. The calculation puts the total energy at -5.199 eV/atom. For the size of the total moment, the calculation gives 0.00 μB per atom.

It has space group Pm (No. 6), with a = 4.592 Å, b = 4.504 Å, c = 6.352 Å, α = 90.00°, β = 111.13° and γ = 90.00°. The inequivalent atoms are Nd at (0.000, 0.000, 0.000), Y at (0.261, 0.500, 0.525), Pb at (0.534, 0.500, 0.067) and Pb at (0.728, 0.000, 0.461).

***

Entry 8:
This record from the Alexandria database describes crystalline Nd2YPb2 at its relaxed geometry. The functional is PBE.

The energy above the lowest structure with this stoichiometry comes out at 0 meV per atom. The formation energy comes out at -540 meV per atom. As for the crystal system: tetragonal. The calculation puts the total energy at -5.223 eV/atom. For the size of the total moment, the calculation gives 0.00 μB per atom.

It has space group P4/mbm (No. 127), with a = 8.304 Å, b = 8.304 Å, c = 4.582 Å, α = 90.00°, β = 90.00° and γ = 90.00°. The inequivalent atoms are Nd at (0.168, 0.332, 0.000), Y at (0.000, 0.000, 0.500) and Pb at (0.136, 0.636, 0.500).